Below is MnNiP after structural relaxation, with properties calculated at the PBE level.

Geometry as POSCAR:
```
MnNiP
1.0
3.723 0.000 0.000
1.862 3.224 0.000
1.862 1.075 3.040
Mn Ni P
1 1 1
Direct
0.000 0.000 0.000
0.500 0.500 0.500
0.750 0.750 0.750
```

Results
**D(E_F)**: 2.7 states/eV/f.u.
**Total magnetic moment**: 1.29 Bohr magnetons per cell
**ΔE_f**: -10.06 kcal/mol of atoms
**Total DFT energy (no corrections)**: -7.223 eV per atom